# PrSi2Ni3

A relaxed PrSi2Ni3 crystal (GGA-PBE, Alexandria).

The structure in CIF format:
```
data_PrSi2Ni3
_chemical_formula_sum 'Pr6 Si12 Ni18'
_cell_length_a 15.562
_cell_length_b 3.853
_cell_length_c 9.449
_cell_angle_alpha 90.00
_cell_angle_beta 107.26
_cell_angle_gamma 90.00
_symmetry_space_group_name_H-M 'C 1 2/m 1'
_symmetry_Int_Tables_number 12
_symmetry_space_group_name_Hall '-C 2y'
loop_
_atom_site_label
_atom_site_type_symbol
_atom_site_fract_x
_atom_site_fract_y
_atom_site_fract_z
Pr1 Pr 0.000 0.000 0.000
Pr2 Pr 0.154 0.000 0.701
Si1 Si 0.023 0.500 0.764
Si2 Si 0.140 0.500 0.449
Si3 Si 0.201 0.000 0.130
Ni1 Ni 0.000 0.500 0.500
Ni2 Ni 0.051 0.000 0.345
Ni3 Ni 0.131 0.500 0.206
Ni4 Ni 0.178 0.500 0.972
Ni5 Ni 0.217 0.000 0.394
```

## Properties
Total energy in eV/atom: -6.186
Magnetization in μB per cell: 0.00
ΔE_f (raw) in kJ per mole of atoms: -66.70

***

# Pr2Si3Ni5

A relaxed Pr2Si3Ni5 crystal (GGA-PBE, Alexandria).

The structure in CIF format:
```
data_Pr2Si3Ni5
_chemical_formula_sum 'Pr8 Si12 Ni20'
_cell_length_a 3.945
_cell_length_b 25.988
_cell_length_c 6.447
_cell_angle_alpha 90.00
_cell_angle_beta 90.00
_cell_angle_gamma 90.00
_symmetry_space_group_name_H-M 'C m c 21'
_symmetry_Int_Tables_number 36
_symmetry_space_group_name_Hall 'C 2c -2'
loop_
_atom_site_label
_atom_site_type_symbol
_atom_site_fract_x
_atom_site_fract_y
_atom_site_fract_z
Pr1 Pr 0.000 0.023 0.000
Pr2 Pr 0.000 0.323 0.010
Si1 Si 0.000 0.121 0.220
Si2 Si 0.000 0.275 0.451
Si3 Si 0.000 0.433 0.198
Ni1 Ni 0.000 0.086 0.552
Ni2 Ni 0.000 0.207 0.141
Ni3 Ni 0.000 0.234 0.764
Ni4 Ni 0.000 0.368 0.503
Ni5 Ni 0.000 0.426 0.817
```

## Properties
Total energy in eV/atom: -5.992
Magnetization in μB per cell: 0.00
ΔE to the lowest computed polymorph in meV/atom: 117
ΔE_f (raw) in kJ per mole of atoms: -50.03

***

# Pr2Si3Ni

A relaxed Pr2Si3Ni crystal (GGA-PBE, Alexandria).

The structure in CIF format:
```
data_Pr2Si3Ni
_chemical_formula_sum 'Pr2 Si3 Ni1'
_cell_length_a 4.057
_cell_length_b 4.294
_cell_length_c 7.022
_cell_angle_alpha 90.00
_cell_angle_beta 90.00
_cell_angle_gamma 90.00
_symmetry_space_group_name_H-M 'P m m 2'
_symmetry_Int_Tables_number 25
_symmetry_space_group_name_Hall 'P 2 -2'
loop_
_atom_site_label
_atom_site_type_symbol
_atom_site_fract_x
_atom_site_fract_y
_atom_site_fract_z
Pr1 Pr 0.000 0.000 0.000
Pr2 Pr 0.500 0.000 0.498
Si1 Si 0.000 0.500 0.348
Si2 Si 0.500 0.500 0.159
Si3 Si 0.500 0.500 0.818
Ni1 Ni 0.000 0.500 0.671
```

## Properties
Total energy in eV/atom: -6.038
Magnetization in μB per cell: 0.00
ΔE_f (raw) in kJ per mole of atoms: -74.30